1.
The following is a PBE calculation of a relaxed structure of MnZnP2Cl, from Alexandria.

Properties
* energy relative to the elements, uncorrected: 278.8 meV/atom
* ΔE to the lowest computed polymorph: 0.000 eV per formula unit

Structure (extended XYZ):
```
5
Lattice="-3.307 -1.917 1.942 2.681 -2.854 1.747 0.611 3.059 4.061" Properties=species:S:1:pos:R:3 pbc="T T T"
Zn -0.008 -0.856 3.875
P 1.340 -1.427 0.873
P -1.654 -0.959 0.971
Mn 0.000 0.000 0.000
Cl 0.306 1.529 2.030
```

---

2.
The following is a PBE calculation of a relaxed structure of MnZnP2Cl, from Alexandria.

Properties
* energy relative to the elements, uncorrected: 1220.8 meV/atom
* ΔE to the lowest computed polymorph: 4.710 eV per formula unit

Structure (extended XYZ):
```
5
Lattice="-1.985 -1.747 3.705 -3.472 -1.467 -2.551 2.337 -4.235 -0.745" Properties=species:S:1:pos:R:3 pbc="T T T"
P -0.992 -0.873 1.853
P -1.736 -0.733 -1.276
Zn 0.000 0.000 0.000
Mn -1.560 -3.725 0.204
Cl 1.168 -2.118 -0.373
```

---

3.
The following is a PBE calculation of a relaxed structure of MnZnPCl2, from Alexandria.

Properties
* energy relative to the elements, uncorrected: -11.9 meV/atom
* ΔE to the lowest computed polymorph: 0.000 eV per formula unit

Structure (extended XYZ):
```
5
Lattice="4.625 0.000 0.000 0.000 4.625 0.000 0.000 0.000 4.994" Properties=species:S:1:pos:R:3 pbc="T T T"
Mn 0.000 0.000 0.000
Zn 2.313 2.313 2.497
Cl 0.000 2.313 0.000
Cl 2.313 0.000 0.000
P 0.000 0.000 2.497
```

---

Q: The highest energy relative to the elements, uncorrected belongs to which entry?
A: number 2